The following is a DFT calculation (PBE-GGA) of a relaxed AlP3 crystal.

Cell: 6.0099 6.2407 6.9998 Å, 90.00 90.00 90.00°
Last column: nearest neighbours and their distance in Å.
Space group Pnma (No. 62)
Symmetry-distinct sites (fractional):
Al (0.0881, 0.2500, 0.1212) [4 per cell]  6 P 2.54-2.60
P (0.0834, 0.2500, 0.5986) [4 per cell]  4 P 2.28-2.51
P (0.2335, 0.0124, 0.3883) [8 per cell]  2 P 2.28-2.51, 2 Al 2.54-2.55

Calculated values
DFT formation energy = 0.08 eV/atom
M_tot = 0.0 μB per formula unit